Below is crystalline Ba4LaBr at its relaxed geometry, with properties calculated at the PBE level.

The space group is F-43m (No. 216) and the conventional cell measures 10.9498, 10.9498 and 10.9498 Å, with angles of 90.00, 90.00 and 90.00 degrees. The distinct sites, in fractional coordinates, are Ba at (0.1239, 0.1239, 0.3761), La at (0.2500, 0.2500, 0.7500) and Br at (0.0000, 0.0000, 0.0000).

The value obtained for the volume is 1313 Å³ per cell. The calculation puts the formation energy (no corrections) at 0.192 eV per atom. Its total DFT energy (no corrections) is -52.6 eV for the cell shown.

=====

Below is crystalline BaLa2Br at its relaxed geometry, with properties calculated at the PBE level.

The space group is P2/m (No. 10) and the conventional cell measures 3.9838, 6.7650 and 5.6183 Å, with angles of 90.00, 92.64 and 90.00 degrees. The distinct sites, in fractional coordinates, are Ba at (0.0000, 0.0000, 0.0000), La at (0.3231, 0.5000, 0.7585) and Br at (0.5000, 0.0000, 0.5000).

The value obtained for the volume is 151 Å³ per cell. The calculation puts the formation energy (no corrections) at -0.410 eV per atom. Its excess energy over the best structure of this formula in the dataset is 0.185 eV per atom. Its total DFT energy (no corrections) is -15.1 eV for the cell shown.

=====

Below is crystalline BaLi2LaBr8 at its relaxed geometry, with properties calculated at the PBE level.

The space group is P-3 (No. 147) and the conventional cell measures 7.0963, 7.0963 and 9.5031 Å, with angles of 90.00, 90.00 and 120.00 degrees. The distinct sites, in fractional coordinates, are Ba at (0.0000, 0.0000, 0.0000), Li at (0.3333, 0.6667, 0.7453), La at (0.0000, 0.0000, 0.5000), Br at (0.0069, 0.6925, 0.2956) and Br at (0.3333, 0.6667, 0.0067).

The value obtained for the volume is 414 Å³ per cell. The calculation puts the formation energy (no corrections) at -1.563 eV per atom. Its total DFT energy (no corrections) is -42.8 eV for the cell shown.

=====

Below is crystalline BaLaMgBr2 at its relaxed geometry, with properties calculated at the PBE level.

The space group is P4/mmm (No. 123) and the conventional cell measures 5.4454, 5.4454 and 6.9034 Å, with angles of 90.00, 90.00 and 90.00 degrees. The distinct sites, in fractional coordinates, are Ba at (0.0000, 0.0000, 0.0000), La at (0.5000, 0.5000, 0.0000), Mg at (0.0000, 0.0000, 0.5000) and Br at (0.0000, 0.5000, 0.5000).

The value obtained for the volume is 205 Å³ per cell. The calculation puts the formation energy (no corrections) at -0.185 eV per atom. Its total DFT energy (no corrections) is -12.7 eV for the cell shown.

=====

Below is crystalline Ba2LaBr2N2 at its relaxed geometry, with properties calculated at the PBE level.

The space group is I4/mmm (No. 139) and the conventional cell measures 4.7206, 4.7206 and 17.1145 Å, with angles of 90.00, 90.00 and 90.00 degrees. The distinct sites, in fractional coordinates, are Ba at (0.0000, 0.0000, 0.1078), La at (0.0000, 0.0000, 0.5000), Br at (0.0000, 0.0000, 0.3167) and N at (0.0000, 0.5000, 0.0000).

The value obtained for the volume is 381 Å³ per cell. The calculation puts the formation energy (no corrections) at -1.371 eV per atom. Its total DFT energy (no corrections) is -76.7 eV for the cell shown.

=====

Below is crystalline BaNaLaBr6 at its relaxed geometry, with properties calculated at the PBE level.

The space group is P-31c (No. 163) and the conventional cell measures 7.6559, 7.6559 and 14.0225 Å, with angles of 90.00, 90.00 and 120.00 degrees. The distinct sites, in fractional coordinates, are Ba at (0.0000, 0.0000, 0.0000), Na at (0.3333, 0.6667, 0.2500), La at (0.3333, 0.6667, 0.7500) and Br at (0.0058, 0.3565, 0.6313).

The value obtained for the volume is 712 Å³ per cell. The calculation puts the formation energy (no corrections) at -1.947 eV per atom. Its total DFT energy (no corrections) is -71.5 eV for the cell shown.

=====

Below is crystalline BaLaPBr at its relaxed geometry, with properties calculated at the PBE level.

The space group is R3m (No. 160, hexagonal axes) and the conventional cell measures 4.3635, 4.3635 and 24.0394 Å, with angles of 90.00, 90.00 and 120.00 degrees. The distinct sites, in fractional coordinates, are Ba at (0.0000, 0.0000, 0.0000), La at (0.0000, 0.0000, 0.8051), P at (0.0000, 0.0000, 0.4118) and Br at (0.0000, 0.0000, 0.2274).

The value obtained for the volume is 396 Å³ per cell. The calculation puts the formation energy (no corrections) at -1.529 eV per atom. Its total DFT energy (no corrections) is -60.1 eV for the cell shown.

=====

Below is crystalline RbBaLaBr6 at its relaxed geometry, with properties calculated at the PBE level.

The space group is P-31c (No. 163) and the conventional cell measures 8.2061, 8.2061 and 14.1840 Å, with angles of 90.00, 90.00 and 120.00 degrees. The distinct sites, in fractional coordinates, are Rb at (0.0000, 0.0000, 0.0000), Ba at (0.3333, 0.6667, 0.2500), La at (0.3333, 0.6667, 0.7500) and Br at (0.0267, 0.3783, 0.6323).

The value obtained for the volume is 827 Å³ per cell. The calculation puts the formation energy (no corrections) at -2.011 eV per atom. Its total DFT energy (no corrections) is -71.9 eV for the cell shown.

=====

Below is crystalline BaLaRhBr at its relaxed geometry, with properties calculated at the PBE level.

The space group is R3m (No. 160, hexagonal axes) and the conventional cell measures 4.2687, 4.2687 and 25.0192 Å, with angles of 90.00, 90.00 and 120.00 degrees. The distinct sites, in fractional coordinates, are Ba at (0.0000, 0.0000, 0.0000), La at (0.0000, 0.0000, 0.8032), Rh at (0.0000, 0.0000, 0.4161) and Br at (0.0000, 0.0000, 0.2310).

The value obtained for the volume is 395 Å³ per cell. The calculation puts the formation energy (no corrections) at -1.068 eV per atom. Its total DFT energy (no corrections) is -60.4 eV for the cell shown.

=====

Below is crystalline BaLaSe2Br at its relaxed geometry, with properties calculated at the PBE level.

The space group is P4/mmm (No. 123) and the conventional cell measures 5.9951, 5.9951 and 5.7863 Å, with angles of 90.00, 90.00 and 90.00 degrees. The distinct sites, in fractional coordinates, are Ba at (0.0000, 0.0000, 0.0000), La at (0.5000, 0.5000, 0.5000), Se at (0.0000, 0.5000, 0.0000) and Br at (0.0000, 0.0000, 0.5000).

The value obtained for the volume is 208 Å³ per cell. The calculation puts the formation energy (no corrections) at -0.852 eV per atom. Its excess energy over the best structure of this formula in the dataset is 0.919 eV per atom. Its total DFT energy (no corrections) is -19.8 eV for the cell shown.

=====

Below is crystalline BaLaSeBr2 at its relaxed geometry, with properties calculated at the PBE level.

The space group is P4/mmm (No. 123) and the conventional cell measures 5.8070, 5.8070 and 5.7955 Å, with angles of 90.00, 90.00 and 90.00 degrees. The distinct sites, in fractional coordinates, are Ba at (0.0000, 0.0000, 0.0000), La at (0.5000, 0.5000, 0.5000), Se at (0.5000, 0.5000, 0.0000) and Br at (0.0000, 0.5000, 0.5000).

The value obtained for the volume is 195 Å³ per cell. The calculation puts the formation energy (no corrections) at -1.608 eV per atom. Its total DFT energy (no corrections) is -21.7 eV for the cell shown.

=====

Below is crystalline BaLaSe2Br at its relaxed geometry, with properties calculated at the PBE level.

The space group is P4/mmm (No. 123) and the conventional cell measures 5.7871, 5.7871 and 5.7178 Å, with angles of 90.00, 90.00 and 90.00 degrees. The distinct sites, in fractional coordinates, are Ba at (0.0000, 0.0000, 0.0000), La at (0.5000, 0.5000, 0.5000), Se at (0.0000, 0.5000, 0.5000) and Br at (0.5000, 0.5000, 0.0000).

The value obtained for the volume is 191 Å³ per cell. The calculation puts the formation energy (no corrections) at -1.771 eV per atom. Its excess energy over the best structure of this formula in the dataset is 0.000 eV per atom. Its total DFT energy (no corrections) is -24.3 eV for the cell shown.

=====

> Look up the total DFT energy (no corrections) of the fourth one.

-12.7 eV for the cell shown

=====

> Look up the total DFT energy (no corrections) of the second one.

-15.1 eV for the cell shown

=====

> total DFT energy (no corrections) of number 4 (BaLaMgBr2)?

-12.7 eV for the cell shown

=====

> What is the formation energy (no corrections) in the ninth record?

-1.068 eV per atom